No. 1
Entry from the Alexandria database: a relaxed structure of Er2Ga4CuPd3 (PBE-GGA).

Unit cell a=3.990 b=3.990 c=11.434 alpha=90.00 beta=90.00 gamma=90.00
Space group P-4m2 (No. 115)
Asymmetric unit:
Er 0.000 0.500 0.247 [2 per cell]
Ga 0.000 0.000 0.500 [1 per cell]
Ga 0.000 0.500 0.866 [2 per cell]
Ga 0.500 0.500 0.500 [1 per cell]
Cu 0.500 0.500 0.000 [1 per cell]
Pd 0.000 0.000 0.000 [1 per cell]
Pd 0.000 0.500 0.647 [2 per cell]

Output
M_tot: 0.00 μB/cell
Calculated volume: 182 Å³/cell
Calculated total energy: -47.74 eV/cell
Formation enthalpy at 0 K: -683 meV/atom



No. 2
Entry from the Alexandria database: a relaxed structure of Er2Ga3Cu12Pd (PBE-GGA).

Unit cell a=5.1922 b=5.1922 c=36.4134 alpha=90.00 beta=90.00 gamma=120.00
Space group R-3m (No. 166, hexagonal axes)
Asymmetric unit:
Er 0.0000 0.0000 0.1433 [6 per cell]
Ga 0.0000 0.5000 0.0000 [9 per cell]
Cu 0.0027 0.5014 0.8905 [18 per cell]
Cu 0.0126 0.5063 0.6105 [18 per cell]
Pd 0.0000 0.0000 0.5000 [3 per cell]

Output
M_tot: 0.00 μB/cell
Calculated volume: 850 Å³/cell
Calculated total energy: -217.69 eV/cell
Formation enthalpy at 0 K: -1 meV/atom



No. 3
Entry from the Alexandria database: a relaxed structure of ErGaCuPd (PBE-GGA).

Unit cell a=6.525 b=6.525 c=6.525 alpha=90.00 beta=90.00 gamma=90.00
Space group F-43m (No. 216)
Asymmetric unit:
Er 0.000 0.000 0.000 [4 per cell]
Ga 0.000 0.000 0.500 [4 per cell]
Cu 0.250 0.250 0.250 [4 per cell]
Pd 0.250 0.250 0.750 [4 per cell]

Output
M_tot: 0.00 μB/cell
Calculated volume: 278 Å³/cell
Calculated total energy: -76.45 eV/cell
Formation enthalpy at 0 K: -559 meV/atom



No. 4
Entry from the Alexandria database: a relaxed structure of ErGa4Cu2Pd (PBE-GGA).

Unit cell a=4.1832 b=4.1832 c=26.4424 alpha=90.00 beta=90.00 gamma=120.00
Space group R-3m (No. 166, hexagonal axes)
Asymmetric unit:
Er 0.0000 0.0000 0.0000 [3 per cell]
Ga 0.0000 0.0000 0.1256 [6 per cell]
Ga 0.0000 0.0000 0.3983 [6 per cell]
Cu 0.0000 0.0000 0.2442 [6 per cell]
Pd 0.0000 0.0000 0.5000 [3 per cell]

Output
M_tot: 0.00 μB/cell
Calculated volume: 401 Å³/cell
Calculated total energy: -99.34 eV/cell
Formation enthalpy at 0 K: -382 meV/atom